A relaxed GaMoI2O crystal, computed with PBE+U.

a = 6.0201 Å, b = 6.0201 Å, c = 3.9451 Å
α = 90.00°, β = 90.00°, γ = 90.00°
Closest atoms and distances in Å follow each position.
Sites, in units of the cell vectors:
Ga1 0.0000 0.0000 0.0000  8 I 3.60, 2 Ga 3.95
Mo1 0.5000 0.5000 0.5000  2 O 1.97
I1 0.0000 0.5000 0.5000  2 Mo 3.01
I2 0.5000 0.0000 0.5000  2 Mo 3.01
O1 0.5000 0.5000 0.0000  2 Mo 1.97

Summary:
Offset from the most stable computed form, eV per atom: 0.000
Calculated total energy, eV/atom: -4.090
Magnetization, μB/f.u.: 3.0
SG: P4/mmm